# 1
Pr3ScSb4, optimized geometry, DFT PBE-GGA; spin magnetization = 0.00 μB/f.u.; energy relative to the elements, uncorrected = -1094 meV per atom; N(E_F) = 0.127 states/eV/atom
1.0
-1.1899 4.0313 -1.5370
-5.5016 -3.2780 -4.3383
-2.9058 1.7890 6.9419
Sb Pr Sc
4 3 1
direct
0.5000 0.2415 0.7585
0.0000 0.2332 0.2332
0.0000 0.7668 0.7668
0.5000 0.7585 0.2415
0.0000 0.5000 0.0000
0.0000 0.0000 0.5000
0.5000 0.5000 0.5000
0.5000 0.0000 0.0000

---

# 2
PrSc5Sb6, optimized geometry, DFT PBE-GGA; spin magnetization = 0.00 μB/f.u.; energy relative to the elements, uncorrected = -957 meV per atom; N(E_F) = 0.211 states/eV/atom
1.0
7.3431 0.2103 0.0000
2.2697 6.9685 0.0000
1.1349 3.4842 6.3593
Sc Sb Pr
5 6 1
direct
0.0000 0.3310 0.3379
0.0000 0.6690 0.6621
0.5000 0.5000 0.0000
0.5000 0.8407 0.3186
0.5000 0.1593 0.6814
0.2614 0.9125 0.6514
0.7386 0.0875 0.3486
0.7386 0.4360 0.6514
0.2541 0.2648 0.0000
0.7459 0.7352 0.0000
0.2614 0.5640 0.3486
0.0000 0.0000 0.0000

---

# 3
Pr3ScSb4, optimized geometry, DFT PBE-GGA; spin magnetization = 0.00 μB/f.u.; energy relative to the elements, uncorrected = -1095 meV per atom; N(E_F) = 0.080 states/eV/atom
1.0
7.7426 0.0692 0.0000
-2.6483 7.2616 0.0000
0.0000 0.0000 8.9579
Sb Sc Pr
8 2 6
direct
0.9998 0.7676 0.8844
0.9915 0.2419 0.6334
0.5085 0.7581 0.6334
0.5002 0.2324 0.8844
0.0085 0.7581 0.3666
0.4998 0.7676 0.1156
0.0002 0.2324 0.1156
0.4915 0.2419 0.3666
0.7500 0.0000 0.8757
0.2500 0.0000 0.1243
0.7500 0.5000 0.1239
0.7500 0.5000 0.6274
0.2500 0.0000 0.6266
0.2500 0.5000 0.3726
0.7500 0.0000 0.3734
0.2500 0.5000 0.8761

---

# 4
PrScSb, optimized geometry, DFT PBE-GGA; spin magnetization = 0.52 μB/f.u.; energy relative to the elements, uncorrected = -541 meV per atom; N(E_F) = 1.395 states/eV/atom
1.0
4.0902 0.0000 0.0000
0.0000 4.9311 0.0000
0.0000 -2.4656 4.2705
Sc Pr Sb
1 1 1
direct
0.1592 0.0000 0.0000
0.6629 0.6667 0.3333
0.1779 0.3333 0.6667

---

# 5
PrSc5Sb4, optimized geometry, DFT PBE-GGA; spin magnetization = 0.01 μB/f.u.; energy relative to the elements, uncorrected = -561 meV per atom; N(E_F) = 1.015 states/eV/atom
1.0
5.6864 0.0000 0.0000
0.0000 9.6949 0.0000
0.0000 0.0000 10.1054
Sc Sb Pr
10 8 2
direct
0.7507 0.2501 0.2501
0.2493 0.2499 0.7501
0.7507 0.7499 0.7499
0.4997 0.0000 0.5000
0.7507 0.7499 0.2501
0.2493 0.2499 0.2499
0.7507 0.2501 0.7499
0.2493 0.7501 0.2499
0.2493 0.7501 0.7501
0.5003 0.5000 0.0000
0.0002 0.5000 0.8320
0.5003 0.8063 0.0000
0.4997 0.3063 0.5000
0.9998 0.0000 0.6680
0.9998 0.0000 0.3320
0.5003 0.1937 0.0000
0.0002 0.5000 0.1680
0.4997 0.6937 0.5000
0.0002 0.0000 0.0000
0.9998 0.5000 0.5000

---

# 6
PrScSb, optimized geometry, DFT PBE-GGA; spin magnetization = 0.09 μB/f.u.; energy relative to the elements, uncorrected = -876 meV per atom; N(E_F) = 0.939 states/eV/atom
1.0
-3.4605 2.6835 0.8475
0.2424 -1.0541 4.3272
5.2811 6.4100 1.2654
Sb Sc Pr
2 2 2
direct
0.8136 0.8665 0.1710
0.3136 0.3664 0.6682
0.8136 0.3665 0.9196
0.3136 0.8665 0.9196
0.8136 0.8664 0.5695
0.3136 0.3665 0.2697

---

# 7
Pr5ScSb6, optimized geometry, DFT PBE-GGA; spin magnetization = 0.00 μB/f.u.; energy relative to the elements, uncorrected = -1124 meV per atom; N(E_F) = 0.184 states/eV/atom
1.0
-7.0290 2.1298 -2.6116
0.7565 -6.3828 4.4103
1.0869 5.4808 5.4393
Sb Pr Sc
6 5 1
direct
0.7623 0.7623 0.2453
0.9206 0.6003 0.7600
0.2377 0.2377 0.7547
0.3997 0.0794 0.2400
0.0794 0.3997 0.2400
0.6003 0.9206 0.7600
0.5000 0.5000 0.5000
0.3350 0.6650 0.0000
0.8285 0.1715 0.5000
0.6650 0.3350 0.0000
0.1715 0.8285 0.5000
0.0000 0.0000 0.0000

---

# 8
PrSc3Sb4, optimized geometry, DFT PBE-GGA; spin magnetization = 0.00 μB/f.u.; energy relative to the elements, uncorrected = -968 meV per atom; N(E_F) = 0.177 states/eV/atom
1.0
4.2777 -0.0530 0.0730
0.0529 7.0971 2.0769
-0.1203 0.4166 7.3822
Sb Pr Sc
4 1 3
direct
0.4998 0.2412 0.7411
0.5001 0.7590 0.2589
0.0000 0.2323 0.2678
0.0000 0.7680 0.7321
0.5000 0.5001 0.9999
0.5000 0.0001 0.5000
0.9999 0.0001 0.0000
0.0000 0.5001 0.5000